Arrangement a

10
Lattice="8.7606 0.0000 0.0000 0.0000 8.7606 0.0000 0.0000 0.0000 3.9198" Properties=species:S:1:pos:R:3 comment="PBE La2Zn2I, optimized geometry" sg=P4/mbm m_tot_mub_per_fu=0.000 vol_a3_per_atom=30.1 pbc="T T T"
I 0.0000 0.0000 0.0000
I 4.3803 4.3803 0.0000
Zn 0.9304 5.3107 1.9599
Zn 5.3107 7.8301 1.9599
Zn 7.8301 3.4498 1.9599
Zn 3.4498 0.9304 1.9599
La 2.7743 7.1546 0.0000
La 7.1546 5.9863 0.0000
La 5.9863 1.6060 0.0000
La 1.6060 2.7743 0.0000

---

Arrangement b

5
Lattice="-3.7671 -1.8142 -1.5922 3.9592 -1.8321 -0.9927 0.6661 -2.9210 8.0413" Properties=species:S:1:pos:R:3 comment="PBE La2Zn2I, optimized geometry" sg=R-3m m_tot_mub_per_fu=0.000 vol_a3_per_atom=28.4 pbc="T T T"
La -1.3302 -3.0793 0.3734
La 2.1884 -3.4880 5.0829
Zn -0.2665 -2.4090 3.3784
Zn 1.1247 -4.1583 2.0779
I 0.0000 0.0000 0.0000

---

Stability check: which of them is least stable? arrangement a.

---

Arrangement a

10
Lattice="7.7895 0.0000 0.0000 0.0000 7.7895 0.0000 0.0000 0.0000 4.9101" Properties=species:S:1:pos:R:3 comment="PBE LaZn2I2, optimized geometry" sg=P4/mbm m_tot_mub_per_fu=0.000 vol_a3_per_atom=29.8 pbc="T T T"
I 1.4845 5.3793 2.4551
I 5.3793 6.3050 2.4551
I 6.3050 2.4103 2.4551
I 2.4103 1.4845 2.4551
Zn 3.0199 6.9147 0.0000
Zn 6.9147 4.7696 0.0000
Zn 4.7696 0.8749 0.0000
Zn 0.8749 3.0199 0.0000
La 0.0000 0.0000 0.0000
La 3.8948 3.8948 0.0000

---

Arrangement b

5
Lattice="-3.9685 -4.5007 0.3063 4.1609 -3.4944 2.5641 -1.1272 -2.6596 5.2440" Properties=species:S:1:pos:R:3 comment="PBE LaZn2I2, optimized geometry" sg=I4/mmm m_tot_mub_per_fu=0.000 vol_a3_per_atom=30.5 pbc="T T T"
I -2.4997 -5.5789 3.4927
I 1.5650 -5.0757 4.6216
Zn -0.2556 -3.6128 2.5304
Zn -0.6792 -7.0418 5.5839
La 0.0000 0.0000 0.0000

---

Stability check: which of them is least stable? arrangement a.

---

Arrangement a

4
Lattice="2.6582 3.2114 3.3358 -1.3637 0.2095 5.1579 3.2330 -2.0841 3.7029" Properties=species:S:1:pos:R:3 comment="PBE LaZn2I, optimized geometry" sg=Fm-3m m_tot_mub_per_fu=0.000 vol_a3_per_atom=26.9 pbc="T T T"
I 0.0000 0.0000 0.0000
Zn 1.1319 0.3342 3.0492
Zn 3.3957 1.0027 9.1475
La 2.2638 0.6684 6.0983

---

Arrangement b

8
Lattice="-5.7526 -3.8009 5.1289 6.1723 -1.5496 5.7746 -0.3885 0.0974 6.8354" Properties=species:S:1:pos:R:3 comment="PBE LaZn2I, optimized geometry" sg=I-42d m_tot_mub_per_fu=0.001 vol_a3_per_atom=29.1 pbc="T T T"
I 0.2098 -2.6753 5.4517
I 2.9968 -2.0637 9.0308
Zn -2.9076 -2.5361 5.6243
Zn 3.0281 -1.4281 5.9710
Zn -0.1196 -1.9370 9.2288
Zn 0.0615 -4.6050 14.6536
La 0.0000 0.0000 0.0000
La -2.9656 -3.1894 8.7080

---

Stability check: which of them is least stable? arrangement a.

---

Arrangement a

4
Lattice="3.6851 0.0000 0.0000 1.8425 3.1914 0.0000 1.8425 1.0638 10.7379" Properties=species:S:1:pos:R:3 comment="PBE LaZrI2, optimized geometry" sg=R-3m m_tot_mub_per_fu=0.000 vol_a3_per_atom=31.6 pbc="T T T"
I 1.8425 1.0638 7.4503
I 5.5276 3.1914 3.2876
Zr 3.6851 2.1276 5.3689
La 0.0000 0.0000 0.0000

---

Arrangement b

8
Lattice="5.2394 0.0000 0.0000 0.0000 5.2394 0.0000 2.6197 2.6197 10.0363" Properties=species:S:1:pos:R:3 comment="PBE LaZrI2, optimized geometry" sg=I-42d m_tot_mub_per_fu=0.005 vol_a3_per_atom=34.4 pbc="T T T"
I 3.8165 1.3099 2.5091
I 1.4229 3.9296 2.5091
I 3.9296 4.0426 7.5272
I 6.5493 6.4362 7.5272
Zr 2.6197 2.6197 0.0000
Zr 2.6197 5.2394 5.0181
La 0.0000 0.0000 0.0000
La 5.2394 2.6197 5.0181

---

Arrangement c

4
Lattice="0.0000 3.8026 3.8026 3.8026 0.0000 3.8026 3.8026 3.8026 0.0000" Properties=species:S:1:pos:R:3 comment="PBE LaZrI2, optimized geometry" sg=Fm-3m m_tot_mub_per_fu=0.000 vol_a3_per_atom=27.5 pbc="T T T"
I 1.9013 1.9013 1.9013
I 5.7039 5.7039 5.7039
Zr 0.0000 0.0000 0.0000
La 3.8026 3.8026 3.8026

---

Stability check: which of them is least stable? arrangement b.